Crystalline LiDyGeRh at its relaxed geometry. Source: Alexandria, functional PBE.

Structure (POSCAR):
```
LiDyGeRh
1.0
-1.439 2.098 -3.809
0.485 -2.050 -4.067
-3.682 -1.569 -2.227
Dy Li Rh Ge
1 1 1 1
Direct
0.750 0.750 0.750
0.500 0.500 0.500
0.000 0.000 0.000
0.250 0.250 0.250
```

Properties
symmetry	F-43m
size of the total moment	0.0	μB/cell
E	-5.27	eV per atom